(1)
Compound: Cs3Si2Au4
Source: the Alexandria database
Functional: PBE-GGA
Structure: relaxed

Total energy = -0.1158 Ha/atom

Lattice parameters (Å, degrees): 7.4587 7.4587 9.4411 107.09 107.09 35.09
Element x y z (fractional)
Cs 0.0000 0.0000 0.0000
Cs 0.4058 0.4058 0.3095
Cs 0.5942 0.5942 0.6905
Si 0.3244 0.3244 0.6869
Si 0.6756 0.6756 0.3131
Au 0.1892 0.1892 0.4248
Au 0.2743 0.2743 0.9143
Au 0.7257 0.7257 0.0857
Au 0.8108 0.8108 0.5752

***

(2)
Compound: Cs2SiAu4
Source: the Alexandria database
Functional: PBE-GGA
Structure: relaxed

Total energy = -0.1129 Ha/atom

Lattice parameters (Å, degrees): 5.0221 5.0221 18.3796 90.00 90.00 90.00
Element x y z (fractional)
Cs 0.0000 0.0000 0.1539
Cs 0.0000 0.0000 0.8461
Cs 0.5000 0.5000 0.3461
Cs 0.5000 0.5000 0.6539
Si 0.0000 0.0000 0.5000
Si 0.5000 0.5000 0.0000
Au 0.0000 0.0000 0.3649
Au 0.0000 0.0000 0.6351
Au 0.0000 0.5000 0.0000
Au 0.0000 0.5000 0.5000
Au 0.5000 0.0000 0.0000
Au 0.5000 0.0000 0.5000
Au 0.5000 0.5000 0.1351
Au 0.5000 0.5000 0.8649

***

(3)
Compound: CsSiAu3
Source: the Alexandria database
Functional: PBE-GGA
Structure: relaxed

Energy relative to the lowest polymorph listed for this composition = 0.314 eV/atom

Lattice parameters (Å, degrees): 5.1457 5.1457 6.8323 90.00 90.00 90.00
Element x y z (fractional)
Cs 0.0000 0.0000 0.0000
Si 0.5000 0.5000 0.4070
Au 0.0000 0.0000 0.5056
Au 0.0000 0.5000 0.4472
Au 0.5000 0.0000 0.4472

***

(4)
Compound: Cs2SiSnAu6
Source: the Alexandria database
Functional: PBE-GGA
Structure: relaxed

Total energy = -0.1202 Ha/atom

Lattice parameters (Å, degrees): 7.3972 7.3972 7.3972 120.13 120.13 89.78
Element x y z (fractional)
Cs 0.2500 0.7500 0.5000
Cs 0.7500 0.2500 0.5000
Si 0.0000 0.0000 0.0000
Sn 0.5000 0.5000 0.0000
Au 0.2351 0.2351 0.0000
Au 0.2353 0.2353 0.4707
Au 0.2353 0.7647 0.0000
Au 0.7647 0.2353 0.0000
Au 0.7649 0.7649 0.0000
Au 0.7647 0.7647 0.5293

***

(5)
Compound: CsSiTe3Au
Source: the Alexandria database
Functional: PBE-GGA
Structure: relaxed

Total energy = -0.1285 Ha/atom

Lattice parameters (Å, degrees): 7.8049 7.8049 8.8694 104.02 104.02 66.03
Element x y z (fractional)
Cs 0.2016 0.2016 0.2647
Cs 0.7984 0.7984 0.7353
Si 0.4794 0.4794 0.8615
Si 0.5206 0.5206 0.1385
Te 0.1784 0.6888 0.1940
Te 0.2819 0.2819 0.7456
Te 0.3112 0.8216 0.8060
Te 0.6888 0.1784 0.1940
Te 0.7181 0.7181 0.2544
Te 0.8216 0.3112 0.8060
Au 0.2500 0.7500 0.5000
Au 0.7500 0.2500 0.5000

***

(6)
Compound: Cs2SiTe4Au
Source: the Alexandria database
Functional: PBE-GGA
Structure: relaxed

Total energy = -0.1237 Ha/atom

Lattice parameters (Å, degrees): 14.5469 12.9066 8.4110 83.20 61.76 35.04
Element x y z (fractional)
Cs 0.0548 0.0548 0.6952
Cs 0.3048 0.3048 0.9452
Cs 0.6952 0.6952 0.0548
Cs 0.9452 0.9452 0.3048
Si 0.3750 0.3750 0.3750
Si 0.6250 0.6250 0.6250
Te 0.0033 0.6373 0.5577
Te 0.3017 0.5577 0.6373
Te 0.3627 0.9967 0.6983
Te 0.4423 0.6983 0.9967
Te 0.5577 0.3017 0.0033
Te 0.6373 0.0033 0.3017
Te 0.6983 0.4423 0.3627
Te 0.9967 0.3627 0.4423
Au 0.1250 0.1250 0.1250
Au 0.8750 0.8750 0.8750

***

(7)
Compound: CsTlSiAu3
Source: the Alexandria database
Functional: PBE-GGA
Structure: relaxed

Total energy = -0.1201 Ha/atom

Lattice parameters (Å, degrees): 7.1033 7.2599 7.2799 90.00 110.90 90.00
Element x y z (fractional)
Cs 0.2464 0.2500 0.0144
Cs 0.7536 0.7500 0.9856
Tl 0.4080 0.7500 0.3617
Tl 0.5920 0.2500 0.6383
Si 0.1179 0.7500 0.5960
Si 0.8821 0.2500 0.4040
Au 0.2052 0.0541 0.5018
Au 0.2052 0.4459 0.5018
Au 0.2427 0.7500 0.9483
Au 0.7573 0.2500 0.0517
Au 0.7948 0.5541 0.4982
Au 0.7948 0.9459 0.4982

***

(8)
Compound: CsSmAu2
Source: the Alexandria database
Functional: PBE-GGA
Structure: relaxed

ΔE_f = -522 meV per atom

Lattice parameters (Å, degrees): 3.8489 3.8489 8.5958 90.00 90.00 90.00
Element x y z (fractional)
Cs 0.0000 0.0000 0.0000
Sm 0.0000 0.0000 0.5000
Au 0.5000 0.5000 0.3267
Au 0.5000 0.5000 0.6733

***

| no. | magnetization (μB/f.u.) |
| --- | --- |
| 1 | 0.0 |
| 2 | 0.0 |
| 3 | 0.0 |
| 4 | 0.0 |
| 5 | 0.0 |
| 6 | 0.0 |
| 7 | 0.0 |
| 8 | 0.0 |